First-principles (PBE) data for an optimized crystal structure of K3Na3ScCl8, as listed in Alexandria.

Calculated values
The calculation puts the total energy at -3.7403 eV/atom. The calculation puts the formation energy from raw total energies at -1.850 eV/atom.

Structure (CIF):
```
data_K3Na3ScCl8
_chemical_formula_sum 'K9 Na9 Sc3 Cl24'
_symmetry_space_group_name_H-M 'R -3 m'
_symmetry_Int_Tables_number 166
_symmetry_space_group_name_Hall '-R 3 2"'
_cell_length_a 8.3433
_cell_length_b 8.3433
_cell_length_c 21.3513
_cell_angle_alpha 90.00
_cell_angle_beta 90.00
_cell_angle_gamma 120.00
loop_
_atom_site_label
_atom_site_fract_x
_atom_site_fract_y
_atom_site_fract_z
K1 0.0000 0.5000 0.0000
Na1 0.0000 0.5000 0.5000
Sc1 0.0000 0.0000 0.5000
Cl1 0.0000 0.0000 0.2410
Cl2 0.0241 0.5121 0.2337
```